No. 1
Below is a geometry-optimized CoMoW2 structure, with properties calculated at the GGA-PBE level.

**Space group**: No. 123
**Total magnetization**: 1.30 μB per formula unit
**Formation energy from the elements**: 0.168 eV per atom
**Calculated volume**: 59.17 Å³/cell
**VASP energy**: -43.17 eV for the cell shown

a = 3.169 Å, b = 3.169 Å, c = 5.893 Å
α = 90.00°, β = 90.00°, γ = 90.00°
Element x y z (fractional)
Co: 0.000 0.000 0.000
Mo: 0.000 0.000 0.500
W: 0.500 0.500 0.239
W: 0.500 0.500 0.761

No. 2
Below is a geometry-optimized CoMoW2 structure, with properties calculated at the GGA-PBE level.

**Space group**: No. 166
**Total magnetization**: 0.63 μB per formula unit
**Formation energy from the elements**: 0.363 eV per atom
**Calculated volume**: 60.20 Å³/cell
**VASP energy**: -42.39 eV for the cell shown

a = 9.364 Å, b = 9.364 Å, c = 9.364 Å
α = 16.85°, β = 16.85°, γ = 16.85°
Element x y z (fractional)
Co: 0.000 0.000 0.000
Mo: 0.500 0.500 0.500
W: 0.257 0.257 0.257
W: 0.743 0.743 0.743

No. 3
Below is a geometry-optimized Co2MoW structure, with properties calculated at the GGA-PBE level.

**Space group**: No. 225
**Total magnetization**: 3.56 μB per formula unit
**Formation energy from the elements**: 0.297 eV per atom
**Calculated volume**: 54.12 Å³/cell
**VASP energy**: -36.81 eV for the cell shown

a = 4.246 Å, b = 4.246 Å, c = 4.246 Å
α = 60.00°, β = 60.00°, γ = 60.00°
Element x y z (fractional)
Co: 0.250 0.250 0.250
Co: 0.750 0.750 0.750
Mo: 0.000 0.000 0.000
W: 0.500 0.500 0.500

No. 4
Below is a geometry-optimized Co2MoW structure, with properties calculated at the GGA-PBE level.

**Space group**: No. 25
**Total magnetization**: 0.00 μB per formula unit
**Formation energy from the elements**: 0.040 eV per atom
**Calculated volume**: 52.31 Å³/cell
**VASP energy**: -37.84 eV for the cell shown

a = 2.674 Å, b = 4.271 Å, c = 4.580 Å
α = 90.00°, β = 90.00°, γ = 90.00°
Element x y z (fractional)
Co: 0.000 0.000 0.000
Co: 0.000 0.500 0.348
Mo: 0.500 0.500 0.862
W: 0.500 0.000 0.488

No. 5
Below is a geometry-optimized CoMoW2 structure, with properties calculated at the GGA-PBE level.

**Space group**: No. 123
**Total magnetization**: 1.73 μB per formula unit
**Formation energy from the elements**: 0.187 eV per atom
**Calculated volume**: 59.47 Å³/cell
**VASP energy**: -43.09 eV for the cell shown

a = 4.303 Å, b = 4.303 Å, c = 3.212 Å
α = 90.00°, β = 90.00°, γ = 90.00°
Element x y z (fractional)
Co: 0.000 0.000 0.000
Mo: 0.500 0.500 0.000
W: 0.000 0.500 0.500
W: 0.500 0.000 0.500

No. 6
Below is a geometry-optimized Co3MoW structure, with properties calculated at the GGA-PBE level.

**Space group**: No. 12
**Total magnetization**: 0.00 μB per formula unit
**Formation energy from the elements**: 0.072 eV per atom
**Calculated volume**: 126.42 Å³/cell
**VASP energy**: -89.49 eV for the cell shown

a = 6.516 Å, b = 6.516 Å, c = 4.565 Å
α = 104.81°, β = 104.81°, γ = 42.71°
Element x y z (fractional)
Co: 0.000 0.000 0.000
Co: 0.000 0.000 0.500
Co: 0.102 0.595 0.647
Co: 0.405 0.898 0.353
Co: 0.595 0.102 0.647
Co: 0.898 0.405 0.353
Mo: 0.444 0.444 0.209
Mo: 0.556 0.556 0.791
W: 0.198 0.198 0.887
W: 0.802 0.802 0.113

No. 7
Below is a geometry-optimized CoMo4W structure, with properties calculated at the GGA-PBE level.

**Space group**: No. 216
**Total magnetization**: 2.11 μB per formula unit
**Formation energy from the elements**: 0.495 eV per atom
**Calculated volume**: 96.55 Å³/cell
**VASP energy**: -60.41 eV for the cell shown

a = 5.149 Å, b = 5.149 Å, c = 5.149 Å
α = 60.00°, β = 60.00°, γ = 60.00°
Element x y z (fractional)
Co: 0.000 0.000 0.000
Mo: 0.375 0.375 0.375
Mo: 0.375 0.375 0.875
Mo: 0.375 0.875 0.375
Mo: 0.875 0.375 0.375
W: 0.750 0.750 0.750

No. 8
Below is a geometry-optimized CoMoW2 structure, with properties calculated at the GGA-PBE level.

**Space group**: No. 12
**Total magnetization**: 1.86 μB per formula unit
**Formation energy from the elements**: 0.177 eV per atom
**Calculated volume**: 59.97 Å³/cell
**VASP energy**: -43.14 eV for the cell shown

a = 5.154 Å, b = 5.154 Å, c = 2.692 Å
α = 100.35°, β = 100.35°, γ = 116.79°
Element x y z (fractional)
Co: 0.000 0.000 0.000
Mo: 0.500 0.500 0.000
W: 0.000 0.500 0.500
W: 0.500 0.000 0.500

No. 9
Below is a geometry-optimized Co2MoW structure, with properties calculated at the GGA-PBE level.

**Space group**: No. 139
**Total magnetization**: 0.00 μB per formula unit
**Formation energy from the elements**: 0.033 eV per atom
**Calculated volume**: 52.37 Å³/cell
**VASP energy**: -37.86 eV for the cell shown

a = 4.559 Å, b = 4.559 Å, c = 4.559 Å
α = 131.28°, β = 131.28°, γ = 71.36°
Element x y z (fractional)
Co: 0.250 0.750 0.500
Co: 0.750 0.250 0.500
Mo: 0.000 0.000 0.000
W: 0.500 0.500 0.000

No. 10
Below is a geometry-optimized Co6MoW structure, with properties calculated at the GGA-PBE level.

**Space group**: No. 65
**Total magnetization**: 1.38 μB per formula unit
**Formation energy from the elements**: -0.023 eV per atom
**Calculated volume**: 371.53 Å³/cell
**VASP energy**: -266.41 eV for the cell shown

a = 6.227 Å, b = 6.227 Å, c = 10.157 Å
α = 90.00°, β = 90.00°, γ = 109.40°
Element x y z (fractional)
Co: 0.000 0.000 0.000
Co: 0.000 0.000 0.500
Co: 0.125 0.375 0.125
Co: 0.125 0.375 0.375
Co: 0.125 0.375 0.625
Co: 0.125 0.375 0.875
Co: 0.250 0.750 0.250
Co: 0.250 0.750 0.750
Co: 0.375 0.125 0.125
Co: 0.375 0.125 0.375
Co: 0.375 0.125 0.625
Co: 0.375 0.125 0.875
Co: 0.500 0.500 0.000
Co: 0.500 0.500 0.500
Co: 0.625 0.875 0.125
Co: 0.625 0.875 0.375
Co: 0.625 0.875 0.625
Co: 0.625 0.875 0.875
Co: 0.750 0.250 0.250
Co: 0.750 0.250 0.750
Co: 0.875 0.625 0.125
Co: 0.875 0.625 0.375
Co: 0.875 0.625 0.625
Co: 0.875 0.625 0.875
Mo: 0.000 0.000 0.250
Mo: 0.000 0.000 0.750
Mo: 0.250 0.750 0.000
Mo: 0.750 0.250 0.000
W: 0.250 0.750 0.500
W: 0.500 0.500 0.250
W: 0.500 0.500 0.750
W: 0.750 0.250 0.500

No. 11
Below is a geometry-optimized Co2MoW structure, with properties calculated at the GGA-PBE level.

**Space group**: No. 35
**Total magnetization**: 2.55 μB per formula unit
**Formation energy from the elements**: 0.146 eV per atom
**Calculated volume**: 54.02 Å³/cell
**VASP energy**: -37.41 eV for the cell shown

a = 2.649 Å, b = 2.649 Å, c = 7.807 Å
α = 90.00°, β = 90.00°, γ = 99.54°
Element x y z (fractional)
Co: 0.000 0.000 0.000
Co: 0.500 0.500 0.206
Mo: 0.500 0.500 0.749
W: 0.000 0.000 0.454

No. 12
Below is a geometry-optimized Co2MoW structure, with properties calculated at the GGA-PBE level.

**Space group**: No. 160
**Total magnetization**: 2.18 μB per formula unit
**Formation energy from the elements**: 0.320 eV per atom
**Calculated volume**: 55.00 Å³/cell
**VASP energy**: -36.72 eV for the cell shown

a = 8.849 Å, b = 8.849 Å, c = 8.849 Å
α = 17.55°, β = 17.55°, γ = 17.55°
Element x y z (fractional)
Co: 0.000 0.000 0.000
Co: 0.259 0.259 0.259
Mo: 0.748 0.748 0.748
W: 0.511 0.511 0.511

No. 13
Below is a geometry-optimized Co2MoW structure, with properties calculated at the GGA-PBE level.

**Space group**: No. 8
**Total magnetization**: 0.00 μB per formula unit
**Formation energy from the elements**: 0.108 eV per atom
**Calculated volume**: 52.93 Å³/cell
**VASP energy**: -37.57 eV for the cell shown

a = 4.543 Å, b = 4.543 Å, c = 4.627 Å
α = 99.48°, β = 99.48°, γ = 34.25°
Element x y z (fractional)
Co: 0.000 0.000 0.000
Co: 0.739 0.739 0.277
Mo: 0.252 0.252 0.803
W: 0.487 0.487 0.476

No. 14
Below is a geometry-optimized CoMoW2 structure, with properties calculated at the GGA-PBE level.

**Space group**: No. 65
**Total magnetization**: 0.00 μB per formula unit
**Formation energy from the elements**: 0.308 eV per atom
**Calculated volume**: 59.53 Å³/cell
**VASP energy**: -42.61 eV for the cell shown

a = 4.776 Å, b = 4.776 Å, c = 2.755 Å
α = 90.00°, β = 90.00°, γ = 108.69°
Element x y z (fractional)
Co: 0.000 0.000 0.000
Mo: 0.500 0.500 0.000
W: 0.000 0.500 0.500
W: 0.500 0.000 0.500

No. 15
Below is a geometry-optimized CoMoW2 structure, with properties calculated at the GGA-PBE level.

**Space group**: No. 35
**Total magnetization**: 0.00 μB per formula unit
**Formation energy from the elements**: 0.083 eV per atom
**Calculated volume**: 58.79 Å³/cell
**VASP energy**: -43.51 eV for the cell shown

a = 2.701 Å, b = 2.701 Å, c = 8.339 Å
α = 90.00°, β = 90.00°, γ = 104.94°
Element x y z (fractional)
Co: 0.000 0.000 0.000
Mo: 0.500 0.500 0.772
W: 0.000 0.000 0.500
W: 0.500 0.500 0.228

No. 16
Below is a geometry-optimized CoMoW2 structure, with properties calculated at the GGA-PBE level.

**Space group**: No. 160
**Total magnetization**: 0.86 μB per formula unit
**Formation energy from the elements**: 0.365 eV per atom
**Calculated volume**: 60.24 Å³/cell
**VASP energy**: -42.38 eV for the cell shown

a = 9.381 Å, b = 9.381 Å, c = 9.381 Å
α = 16.81°, β = 16.81°, γ = 16.81°
Element x y z (fractional)
Co: 0.000 0.000 0.000
Mo: 0.257 0.257 0.257
W: 0.500 0.500 0.500
W: 0.743 0.743 0.743

No. 17
Below is a geometry-optimized Co2MoW structure, with properties calculated at the GGA-PBE level.

**Space group**: No. 119
**Total magnetization**: 0.01 μB per formula unit
**Formation energy from the elements**: 0.182 eV per atom
**Calculated volume**: 53.05 Å³/cell
**VASP energy**: -37.27 eV for the cell shown

a = 4.638 Å, b = 4.638 Å, c = 4.638 Å
α = 132.61°, β = 132.61°, γ = 69.27°
Element x y z (fractional)
Co: 0.000 0.000 0.000
Co: 0.750 0.250 0.500
Mo: 0.500 0.500 0.000
W: 0.250 0.750 0.500

No. 18
Below is a geometry-optimized Co6MoW structure, with properties calculated at the GGA-PBE level.

**Space group**: No. 187
**Total magnetization**: 1.68 μB per formula unit
**Formation energy from the elements**: -0.067 eV per atom
**Calculated volume**: 92.54 Å³/cell
**VASP energy**: -66.96 eV for the cell shown

a = 5.112 Å, b = 5.112 Å, c = 4.089 Å
α = 90.00°, β = 90.00°, γ = 120.00°
Element x y z (fractional)
Co: 0.009 0.504 0.000
Co: 0.172 0.344 0.500
Co: 0.172 0.828 0.500
Co: 0.496 0.504 0.000
Co: 0.496 0.991 0.000
Co: 0.656 0.828 0.500
Mo: 0.667 0.333 0.500
W: 0.000 0.000 0.000

No. 19
Below is a geometry-optimized Co2MoW structure, with properties calculated at the GGA-PBE level.

**Space group**: No. 123
**Total magnetization**: 0.00 μB per formula unit
**Formation energy from the elements**: 0.029 eV per atom
**Calculated volume**: 52.36 Å³/cell
**VASP energy**: -37.88 eV for the cell shown

a = 3.760 Å, b = 3.760 Å, c = 3.704 Å
α = 90.00°, β = 90.00°, γ = 90.00°
Element x y z (fractional)
Co: 0.000 0.500 0.000
Co: 0.500 0.000 0.000
Mo: 0.000 0.000 0.500
W: 0.500 0.500 0.500

No. 20
Below is a geometry-optimized Co2Mo2W structure, with properties calculated at the GGA-PBE level.

**Space group**: No. 127
**Total magnetization**: 0.00 μB per formula unit
**Formation energy from the elements**: 0.164 eV per atom
**Calculated volume**: 138.07 Å³/cell
**VASP energy**: -96.02 eV for the cell shown

a = 6.593 Å, b = 6.593 Å, c = 3.177 Å
α = 90.00°, β = 90.00°, γ = 90.00°
Element x y z (fractional)
Co: 0.124 0.376 0.000
Co: 0.376 0.876 0.000
Co: 0.624 0.124 0.000
Co: 0.876 0.624 0.000
Mo: 0.175 0.675 0.500
Mo: 0.325 0.175 0.500
Mo: 0.675 0.825 0.500
Mo: 0.825 0.325 0.500
W: 0.000 0.000 0.000
W: 0.500 0.500 0.000